1.
This record from Alexandria via LeMat-Bulk describes an optimized crystal structure of Sc2GaTe. The functional is PBEsol.

Cell and atoms, written as extended XYZ:
```
4
Lattice="4.912 0.000 0.000 2.456 4.254 0.000 2.456 1.418 4.011" Properties=species:S:1:pos:R:3 pbc="T T T"
Sc 2.456 1.418 1.003
Sc 7.368 4.254 3.008
Te 4.912 2.836 2.005
Ga 0.000 0.000 0.000
```

Properties
total magnetization	0.00	μB/cell
calculated total energy	-5.5979	eV per atom
space group	Fm-3m

---

2.
This record from Alexandria via LeMat-Bulk describes an optimized crystal structure of ReMo3. The functional is PBEsol.

Cell and atoms, written as extended XYZ:
```
4
Lattice="-2.121 -1.372 -0.951 1.342 -3.581 2.175 -2.025 1.890 4.361" Properties=species:S:1:pos:R:3 pbc="T T T"
Re -0.342 -0.845 3.268
Mo -3.098 0.396 2.562
Mo -1.048 0.123 0.848
Mo -0.389 -2.476 0.612
```

Properties
formation enthalpy at 0 K	0.04	eV per atom
total magnetization	0.00	μB/cell
calculated total energy	-12.1230	eV per atom
space group	P2/m

---

What is the formula in the second record? ReMo3

---

Look up the total magnetization of the second one. 0.00 μB/cell

---

What is the formula in the second record? ReMo3